DFT (PBE) results for an optimized crystal structure of CsSmNiSe3.

Cell lengths 8.783, 8.783, 9.230 Å; angles 99.95, 99.95, 29.35 degrees
Last column: magnetic moment on the atom in μB.
Fractional positions:
Se 0.635 0.635 0.770  0.01
Se 0.658 0.658 0.363  0.01
Se 0.000 0.000 0.500  0.13
Se 0.342 0.342 0.637  0.01
Se 0.365 0.365 0.230  0.01
Se 0.500 0.500 0.000  0.11
Cs 0.846 0.846 0.931  0.00
Cs 0.154 0.154 0.069  0.00
Sm 0.836 0.836 0.418  0.00
Sm 0.164 0.164 0.582  0.00
Ni 0.507 0.507 0.279  0.66
Ni 0.493 0.493 0.721  0.66

Calculated values
**Space group**: C2/m

DFT (PBE) results for an optimized crystal structure of BaLuSi.

Cell lengths 5.189, 5.189, 5.189 Å; angles 60.00, 60.00, 60.00 degrees
Fractional positions:
Si 0.000 0.000 0.000
Ba 0.250 0.250 0.250
Lu 0.750 0.750 0.750

Calculated values
**Space group**: F-43m

Number 1: raw total energy -0.3352 Ry/atom. Number 2: raw total energy -0.2967 Ry/atom.